--- w ---
Compound: Sr2Ag3Au
Source: Alexandria via LeMat-Bulk
Functional: PBE
Structure: optimized geometry

Geometry as extended XYZ:
```
6
Lattice="4.428 0.000 1.855 1.975 5.635 1.499 -0.009 -0.096 6.236" Properties=species:S:1:pos:R:3 pbc="T T T"
Sr 2.813 1.123 5.713
Sr 3.594 4.429 3.846
Ag 4.912 3.410 6.913
Ag 4.139 1.204 2.545
Ag 2.262 4.342 7.027
Au 1.461 2.109 2.727
```

## Properties
D(E_F) (states/eV/cell): 1.99

---

--- x ---
Compound: Sr2Ag3Au
Source: Alexandria via LeMat-Bulk
Functional: PBE
Structure: optimized geometry

Geometry as extended XYZ:
```
12
Lattice="6.217 0.806 0.000 0.421 6.255 0.000 -3.319 -3.530 8.352" Properties=species:S:1:pos:R:3 pbc="T T T"
Sr 3.109 0.403 4.176
Sr 4.753 2.182 0.000
Sr 0.210 3.127 4.176
Sr 1.885 4.878 0.000
Ag 4.988 5.305 1.390
Ag 1.669 1.775 6.962
Ag -1.669 -1.775 6.962
Ag 1.650 1.755 1.390
Ag 0.000 0.000 2.773
Ag 3.319 3.530 5.579
Au 3.319 3.530 2.777
Au 0.000 0.000 5.575
```

## Properties
D(E_F) (states/eV/cell): 4.48

---

Calculated relative energies: w 0; x 12, given in meV per atom

---

--- w ---
Compound: SrAg3Au8
Source: Alexandria via LeMat-Bulk
Functional: PBE
Structure: optimized geometry

Geometry as extended XYZ:
```
12
Lattice="5.293 0.000 1.598 2.406 4.715 1.598 -0.076 -0.046 9.817" Properties=species:S:1:pos:R:3 pbc="T T T"
Sr 6.711 4.110 6.468
Ag 2.801 1.716 9.855
Ag -0.027 -0.017 9.657
Ag 3.684 2.256 6.931
Au 6.035 2.068 3.946
Au 4.511 4.391 8.953
Au 3.377 2.068 3.144
Au 7.169 4.391 9.755
Au 1.419 0.869 4.868
Au 5.234 3.205 11.363
Au 4.585 4.436 3.946
Au 5.961 2.023 8.953
```

## Properties
D(E_F) (states/eV/cell): 2.96

---

--- x ---
Compound: SrAg3Au8
Source: Alexandria via LeMat-Bulk
Functional: PBE
Structure: optimized geometry

Geometry as extended XYZ:
```
12
Lattice="5.539 0.000 0.000 -2.770 4.797 0.000 0.000 0.000 9.309" Properties=species:S:1:pos:R:3 pbc="T T T"
Sr 0.000 0.000 5.284
Ag 2.770 1.599 3.575
Ag 2.770 1.599 0.382
Ag 0.000 0.000 9.018
Au 0.000 3.198 4.698
Au 0.000 3.198 0.035
Au 2.770 0.029 7.070
Au 1.410 2.384 7.070
Au 4.129 2.384 7.070
Au 0.000 1.577 2.332
Au -1.403 4.008 2.332
Au 1.403 4.008 2.332
```

## Properties
D(E_F) (states/eV/cell): 1.26

---

Calculated relative energies: w 0; x 14, given in meV per atom